# TiW3S (PBE-GGA, relaxed)
# Mass density (Mg/m³): 10.61
# Distance to the lowest polymorph of the same formula (meV per atom): 1550
# Magnetic moment (μB/atom): 0.0000
# Raw formation energy (eV per atom): 2.244
data_TiW3S
_chemical_formula_sum 'Ti1 W3 S1'
_symmetry_space_group_name_H-M 'P 1'
_symmetry_Int_Tables_number 1
_cell_length_a 4.6227
_cell_length_b 4.6227
_cell_length_c 4.6227
_cell_angle_alpha 90.00
_cell_angle_beta 90.00
_cell_angle_gamma 90.00
loop_
_symmetry_equiv_pos_as_xyz
'x,y,z'
loop_
_atom_site_label
_atom_site_type_symbol
_atom_site_fract_x
_atom_site_fract_y
_atom_site_fract_z
W1 W 0.5000 0.0000 0.0000
W2 W 0.0000 0.0000 0.5000
W3 W 0.0000 0.5000 0.0000
S1 S 0.5000 0.5000 0.5000
Ti1 Ti 0.0000 0.0000 0.0000